Material: Pr2SmScBi4
Method: DFT, PBE
State: optimized geometry

Values from the calculation:
DOS at the Fermi energy	0.16	states/eV per atom
total DFT energy (no corrections)	-5.372	eV per atom

a b c (Å): 4.5396 7.8557 7.8429
angles (deg): 109.53 90.00 90.00
With the nearest neighbours (Å) after each atom.
Fractional positions:
Pr  0.5000  0.0000  0.5000  6 Bi 3.31
Pr  0.0000  0.5000  0.5000  6 Bi 3.23
Sm  0.0000  0.0000  0.0000  6 Bi 3.19
Sc  0.5000  0.5000  0.0000  6 Bi 3.10
Bi  0.5000  0.2547  0.2382  1 Sc 3.10, 2 Sm 3.19, 3 Pr 3.23-3.31
Bi  0.5000  0.7453  0.7618  1 Sc 3.10, 2 Sm 3.19, 3 Pr 3.23-3.31
Bi  0.0000  0.2647  0.7682  2 Sc 3.10, 1 Sm 3.19, 3 Pr 3.23-3.31
Bi  0.0000  0.7353  0.2318  2 Sc 3.10, 1 Sm 3.19, 3 Pr 3.23-3.31